# 1
A relaxed BaIn2Bi4 crystal, computed with PBE. Values from VASP.

```
&SYSTEM
  ibrav = 0, nat = 7, ntyp = 3
/
ATOMIC_SPECIES
In 114.82 In.upf
Bi 208.98 Bi.upf
Ba 137.33 Ba.upf
CELL_PARAMETERS angstrom
-1.513 6.056 0.078
-5.940 -1.500 1.199
-2.185 2.561 8.627
ATOMIC_POSITIONS angstrom
In -6.187 4.788 7.834
In -3.450 2.329 2.070
Bi -6.728 4.689 5.030
Bi -2.909 2.428 4.875
Bi -2.970 -0.750 0.600
Bi -0.757 3.028 0.039
Ba 0.000 0.000 0.000
```

## Properties
DFT formation energy: 442 meV/atom
DFT total energy: -2.83 eV per atom

---

# 2
A relaxed Rb3Tb3CrSe8 crystal, computed with PBE. Values from VASP.

```
&SYSTEM
  ibrav = 0, nat = 15, ntyp = 4
/
ATOMIC_SPECIES
Rb 85.47 Rb.upf
Tb 158.93 Tb.upf
Cr 52.00 Cr.upf
Se 78.96 Se.upf
CELL_PARAMETERS angstrom
8.171 -0.001 0.001
-4.086 7.078 -0.032
0.002 -4.685 8.273
ATOMIC_POSITIONS angstrom
Rb 0.000 0.000 0.000
Rb -2.043 3.539 -0.016
Rb 2.042 3.538 -0.015
Tb 4.086 -2.343 4.137
Tb 2.043 1.196 4.121
Tb -2.042 1.196 4.120
Cr 0.001 -2.342 4.137
Se -0.001 2.367 2.476
Se 4.087 0.025 5.766
Se 4.085 2.574 2.613
Se 0.002 -0.182 5.629
Se 6.307 -1.275 2.629
Se -2.220 3.667 5.613
Se 1.864 -1.274 2.625
Se 2.222 3.666 5.617
```

## Properties
formation energy (no corrections): -1.411 eV/atom
DFT total energy: -5.03 eV per atom

---

# 3
A relaxed Ba2US6 crystal, computed with PBE. Values from VASP.

```
&SYSTEM
  ibrav = 0, nat = 18, ntyp = 3
/
ATOMIC_SPECIES
Ba 137.33 Ba.upf
U 238.03 U.upf
S 32.06 S.upf
CELL_PARAMETERS angstrom
-5.712 -4.174 -2.636
-0.949 -3.147 7.040
-3.182 8.607 3.419
ATOMIC_POSITIONS angstrom
Ba -7.824 0.834 3.760
Ba -6.025 4.128 1.188
Ba -3.817 -2.842 6.635
Ba -2.018 0.452 4.063
U -3.331 -3.661 2.202
U -1.591 4.304 1.710
S -7.083 -4.781 4.432
S -6.463 -1.201 5.846
S -4.952 -4.664 4.197
S -6.271 -0.821 1.450
S -8.009 4.099 3.721
S -4.267 -1.126 2.158
S -2.760 6.067 3.391
S -3.379 2.487 1.977
S -4.891 5.950 3.626
S -3.572 2.107 6.373
S -1.834 -2.813 4.102
S -5.575 2.412 5.665
```

## Properties
formation energy (no corrections): -1.310 eV/atom
energy above the lowest structure with this stoichiometry: 0.136 eV per atom
DFT total energy: -5.74 eV per atom

---

# 4
A relaxed Ho3B7W crystal, computed with PBE. Values from VASP.

```
&SYSTEM
  ibrav = 0, nat = 22, ntyp = 3
/
ATOMIC_SPECIES
Ho 164.93 Ho.upf
B 10.81 B.upf
W 183.84 W.upf
CELL_PARAMETERS angstrom
-3.440 -6.414 -3.676
3.148 4.153 6.271
-8.577 3.436 2.030
ATOMIC_POSITIONS angstrom
Ho -6.508 -3.774 -1.721
Ho -2.361 4.949 6.346
Ho -3.252 -5.078 -2.491
Ho -5.616 6.254 7.116
Ho -0.605 2.432 4.350
Ho -8.264 -1.257 0.275
B -5.655 -1.932 -0.020
B -3.214 3.107 4.645
B -1.927 -3.425 -0.902
B -6.942 4.601 5.527
B -2.304 -2.051 0.253
B -6.565 3.227 4.372
B -4.057 -1.348 0.668
B -4.811 2.524 3.957
B -1.059 -1.023 1.289
B -7.810 2.198 3.336
B -3.779 0.067 1.933
B -5.090 1.108 2.692
B -1.995 0.203 2.251
B -6.874 0.973 2.374
W 0.653 4.450 6.249
W -9.522 -3.274 -1.624
```

## Properties
DFT formation energy: -607 meV/atom
DFT total energy: -7.28 eV per atom

---

# 5
A relaxed CaZnIn crystal, computed with PBE. Values from VASP.

```
&SYSTEM
  ibrav = 0, nat = 3, ntyp = 3
/
ATOMIC_SPECIES
Zn 65.41 Zn.upf
Ca 40.08 Ca.upf
In 114.82 In.upf
CELL_PARAMETERS angstrom
-3.419 -0.666 3.334
-2.177 -4.284 0.397
0.875 -2.803 3.824
ATOMIC_POSITIONS angstrom
Zn -3.541 -5.815 5.666
Ca 0.000 0.000 0.000
In -2.360 -3.877 3.777
```

## Properties
DFT formation energy: -245 meV/atom
DFT total energy: -2.25 eV per atom

---

# 6
A relaxed NdSmRhAu crystal, computed with PBE. Values from VASP.

```
&SYSTEM
  ibrav = 0, nat = 4, ntyp = 4
/
ATOMIC_SPECIES
Nd 144.24 Nd.upf
Rh 102.91 Rh.upf
Au 196.97 Au.upf
Sm 150.36 Sm.upf
CELL_PARAMETERS angstrom
5.107 0.000 0.000
2.554 4.423 0.000
2.554 1.474 4.170
ATOMIC_POSITIONS angstrom
Nd 2.554 1.474 1.043
Rh 5.107 2.949 2.085
Au 0.000 0.000 0.000
Sm 7.661 4.423 3.128
```

## Properties
energy above the lowest structure with this stoichiometry: 0.065 eV per atom
DFT formation energy: -708 meV/atom
DFT total energy: -5.74 eV per atom

---

# 7
A relaxed Rb8Mg crystal, computed with PBE. Values from VASP.

```
&SYSTEM
  ibrav = 0, nat = 9, ntyp = 2
/
ATOMIC_SPECIES
Rb 85.47 Rb.upf
Mg 24.30 Mg.upf
CELL_PARAMETERS angstrom
5.118 -9.503 -3.543
-2.777 7.074 8.445
-10.445 -4.396 -0.801
ATOMIC_POSITIONS angstrom
Rb -1.743 -4.549 -1.422
Rb -3.584 -9.350 -2.922
Rb -8.895 1.802 5.143
Rb 0.003 1.238 4.225
Rb -1.574 -2.875 2.939
Rb -4.327 0.876 2.502
Rb -6.530 -3.950 1.162
Rb 2.339 -3.668 0.677
Mg 0.000 0.000 0.000
```

## Properties
DFT formation energy: 84 meV/atom
DFT total energy: -0.95 eV per atom

---

# 8
A relaxed NaVCrCo2 crystal, computed with PBE. Values from VASP.

```
&SYSTEM
  ibrav = 0, nat = 5, ntyp = 4
/
ATOMIC_SPECIES
Na 22.99 Na.upf
Cr 52.00 Cr.upf
Co 58.93 Co.upf
V 50.94 V.upf
CELL_PARAMETERS angstrom
-0.616 -0.731 4.298
3.951 -1.380 0.332
1.355 4.093 0.890
ATOMIC_POSITIONS angstrom
Na 2.345 0.991 2.760
Cr 0.000 0.000 0.000
Co 0.677 2.047 0.445
Co -0.308 -0.365 2.149
V 1.976 -0.690 0.166
```

## Properties
DFT formation energy: 1036 meV/atom
DFT total energy: -5.82 eV per atom

---

# 9
A relaxed Be2NCl crystal, computed with PBE. Values from VASP.

```
&SYSTEM
  ibrav = 0, nat = 8, ntyp = 3
/
ATOMIC_SPECIES
Be 9.01 Be.upf
N 14.01 N.upf
Cl 35.45 Cl.upf
CELL_PARAMETERS angstrom
4.555 0.000 0.000
0.000 4.555 0.000
2.277 2.277 4.205
ATOMIC_POSITIONS angstrom
Be 2.870 1.139 1.051
Be 1.685 3.416 1.051
Be 3.416 3.962 3.154
Be 5.693 5.148 3.154
N 2.277 2.277 0.000
N 2.277 4.555 2.102
Cl 0.000 0.000 0.000
Cl 4.555 2.277 2.102
```

## Properties
formation energy (no corrections): -1.029 eV/atom
energy above the lowest structure with this stoichiometry: 0.000 eV per atom
DFT total energy: -5.44 eV per atom

---

# 10
A relaxed SmInPdPt crystal, computed with PBE. Values from VASP.

```
&SYSTEM
  ibrav = 0, nat = 4, ntyp = 4
/
ATOMIC_SPECIES
Sm 150.36 Sm.upf
In 114.82 In.upf
Pd 106.42 Pd.upf
Pt 195.08 Pt.upf
CELL_PARAMETERS angstrom
-2.299 2.350 -3.333
-3.712 -3.628 0.004
0.946 2.074 4.097
ATOMIC_POSITIONS angstrom
Sm -2.171 1.896 -0.453
In -2.906 -1.104 1.226
Pd -3.311 -0.754 -1.535
Pt -4.749 0.915 0.634
```

## Properties
DFT formation energy: -842 meV/atom
DFT total energy: -5.51 eV per atom

---

# 11
A relaxed ReBMo crystal, computed with PBE. Values from VASP.

```
&SYSTEM
  ibrav = 0, nat = 18, ntyp = 3
/
ATOMIC_SPECIES
Re 186.21 Re.upf
B 10.81 B.upf
Mo 95.94 Mo.upf
CELL_PARAMETERS angstrom
3.055 0.000 0.000
0.000 6.452 0.000
0.000 0.000 11.018
ATOMIC_POSITIONS angstrom
Re 1.527 2.805 1.310
Re 1.527 3.646 9.708
Re 1.527 2.805 4.199
Re 1.527 3.646 6.819
Re 1.527 5.229 2.755
Re 1.527 1.223 8.264
B 1.527 0.390 0.998
B 1.527 6.061 10.020
B 1.527 0.390 4.511
B 1.527 6.061 6.507
B 0.000 3.583 2.755
B 0.000 2.868 8.264
Mo 0.000 1.329 10.552
Mo 0.000 5.123 0.466
Mo 0.000 1.329 5.975
Mo 0.000 5.123 5.043
Mo 0.000 1.013 2.755
Mo 0.000 5.439 8.264
```

## Properties
energy above the lowest structure with this stoichiometry: 0.000 eV per atom
DFT formation energy: -309 meV/atom
DFT total energy: -10.29 eV per atom

---

# 12
A relaxed Ni2MoHRh crystal, computed with PBE. Values from VASP.

```
&SYSTEM
  ibrav = 0, nat = 5, ntyp = 4
/
ATOMIC_SPECIES
Ni 58.69 Ni.upf
Mo 95.94 Mo.upf
Rh 102.91 Rh.upf
H 1.01 H.upf
CELL_PARAMETERS angstrom
3.713 0.000 0.000
0.000 3.713 0.000
0.000 0.000 3.925
ATOMIC_POSITIONS angstrom
Ni 0.000 1.856 0.000
Ni 1.856 0.000 0.000
Mo 0.000 0.000 1.962
Rh 1.856 1.856 1.962
H 0.000 0.000 0.000
```

## Properties
energy above the lowest structure with this stoichiometry: 0.000 eV per atom
DFT total energy: -6.60 eV per atom